a | This record from Alexandria describes an optimized crystal structure of RbTlV2. The functional is PBE.

a = 4.6799 Å, b = 4.6799 Å, c = 11.0061 Å
α = 77.72°, β = 77.72°, γ = 90.00°
Closest atoms and distances in Å follow each position.
Element x y z (fractional)
Tl (0.7500, 0.2500, 0.5000)  4 V 2.87
Tl (0.0000, 0.0000, 0.0000)  4 V 2.87
V (0.8749, 0.6250, 0.2500)  2 V 2.34
V (0.3750, 0.1249, 0.7500)  2 V 2.34
V (0.8751, 0.1250, 0.2500)  2 V 2.34
V (0.8750, 0.1251, 0.7500)  2 V 2.34
Rb (0.5000, 0.5000, 0.0000)  4 Tl 3.31, 8 V 3.71
Rb (0.2500, 0.7500, 0.5000)  4 Tl 3.31, 8 V 3.71

Summary:
The size of the total moment comes out at 2.1 μB per formula unit. The space group is I4_1/amd.

b | This record from Alexandria describes an optimized crystal structure of RbTlV2. The functional is PBE.

a = 5.1441 Å, b = 5.1441 Å, c = 5.1441 Å
α = 60.00°, β = 60.00°, γ = 60.00°
Closest atoms and distances in Å follow each position.
Element x y z (fractional)
Tl (0.5000, 0.5000, 0.5000)  8 V 3.15
V (0.7500, 0.7500, 0.7500)  4 Tl 3.15, 4 Rb 3.15
V (0.2500, 0.2500, 0.2500)  4 Tl 3.15, 4 Rb 3.15
Rb (0.0000, 0.0000, 0.0000)  8 V 3.15

Summary:
The size of the total moment comes out at 6.4 μB per formula unit. The space group is Fm-3m.

What should be chosen as the most stable of them? Choose a.

a | This record from Alexandria describes an optimized crystal structure of Rb2TlV. The functional is PBE.

a = 12.9068 Å, b = 12.9068 Å, c = 9.5269 Å
α = 47.36°, β = 47.36°, γ = 90.00°
Closest atoms and distances in Å follow each position.
Element x y z (fractional)
V (0.5000, 0.5000, 0.0000)  2 Tl 2.73
V (0.2500, 0.7500, 0.5000)  2 Tl 2.73
Tl (0.7500, 0.2500, 0.5000)  2 V 2.73
Tl (0.0000, 0.0000, 0.0000)  2 V 2.73
Rb (0.4722, 0.1250, 0.2500)  2 V 3.53
Rb (0.2778, 0.6250, 0.2500)  2 V 3.53
Rb (0.3750, 0.5278, 0.7500)  2 V 3.53
Rb (0.8750, 0.7222, 0.7500)  2 V 3.53

Summary:
The size of the total moment comes out at 3.9 μB per formula unit. The space group is I-42d.

b | This record from Alexandria describes an optimized crystal structure of Rb2TlV. The functional is PBE.

a = 6.2346 Å, b = 6.2346 Å, c = 6.2346 Å
α = 60.00°, β = 60.00°, γ = 60.00°
Closest atoms and distances in Å follow each position.
Element x y z (fractional)
Rb (0.2500, 0.2500, 0.2500)  4 Tl 3.82, 4 V 3.82
Rb (0.7500, 0.7500, 0.7500)  4 V 3.82, 4 Tl 3.82
Tl (0.5000, 0.5000, 0.5000)  8 Rb 3.82
V (0.0000, 0.0000, 0.0000)  8 Rb 3.82

Summary:
The size of the total moment comes out at 5.1 μB per formula unit. The space group is Fm-3m.

What should be chosen as the most stable of them? Choose a.

a | This record from Alexandria describes an optimized crystal structure of RbYTl2. The functional is PBE.

a = 3.9094 Å, b = 3.9094 Å, c = 8.9502 Å
α = 90.00°, β = 90.00°, γ = 90.00°
Closest atoms and distances in Å follow each position.
Element x y z (fractional)
Rb (0.5000, 0.5000, 0.5000)  8 Tl 3.87, 4 Rb 3.91
Y (0.5000, 0.5000, 0.0000)  8 Tl 3.28
Tl (0.0000, 0.0000, 0.1977)  4 Y 3.28, 1 Tl 3.54
Tl (0.0000, 0.0000, 0.8023)  4 Y 3.28, 1 Tl 3.54

Summary:
The size of the total moment comes out at 0.1 μB per formula unit. The space group is P4/mmm.

b | This record from Alexandria describes an optimized crystal structure of RbYTl2. The functional is PBE.

a = 5.7345 Å, b = 5.7345 Å, c = 5.7345 Å
α = 60.00°, β = 60.00°, γ = 60.00°
Closest atoms and distances in Å follow each position.
Element x y z (fractional)
Tl (0.2500, 0.2500, 0.2500)  4 Y 3.51, 4 Rb 3.51
Tl (0.7500, 0.7500, 0.7500)  4 Y 3.51, 4 Rb 3.51
Y (0.5000, 0.5000, 0.5000)  8 Tl 3.51
Rb (0.0000, 0.0000, 0.0000)  8 Tl 3.51

Summary:
The size of the total moment comes out at 0.0 μB per formula unit. The space group is Fm-3m.

c | This record from Alexandria describes an optimized crystal structure of RbYTl2. The functional is PBE.

a = 9.0401 Å, b = 9.0401 Å, c = 7.4520 Å
α = 52.66°, β = 52.66°, γ = 90.00°
Closest atoms and distances in Å follow each position.
Element x y z (fractional)
Tl (0.3750, 0.3292, 0.7500)  2 Y 3.07
Tl (0.0792, 0.6250, 0.2500)  2 Y 3.07
Tl (0.6708, 0.1250, 0.2500)  2 Y 3.07
Tl (0.8750, 0.9208, 0.7500)  2 Y 3.07
Rb (0.2500, 0.7500, 0.5000)  4 Tl 3.63, 2 Y 3.83
Rb (0.5000, 0.5000, 0.0000)  4 Tl 3.63, 2 Y 3.83
Y (0.7500, 0.2500, 0.5000)  4 Tl 3.07
Y (0.0000, 0.0000, 0.0000)  4 Tl 3.07

Summary:
The size of the total moment comes out at 0.0 μB per formula unit. The space group is I-42d.

d | This record from Alexandria describes an optimized crystal structure of RbYTl2. The functional is PBE.

a = 3.8060 Å, b = 3.8060 Å, c = 11.2948 Å
α = 80.30°, β = 80.30°, γ = 60.00°
Closest atoms and distances in Å follow each position.
Element x y z (fractional)
Tl (0.2593, 0.2593, 0.2221)  3 Y 3.30
Tl (0.7407, 0.7407, 0.7779)  3 Y 3.30
Y (0.0000, 0.0000, 0.0000)  6 Tl 3.30
Rb (0.5000, 0.5000, 0.5000)  6 Tl 3.78, 6 Rb 3.81

Summary:
The size of the total moment comes out at 0.0 μB per formula unit. The space group is R-3m.

What should be chosen as the most stable of them? Choose a.

a | This record from Alexandria describes an optimized crystal structure of RbY2Tl. The functional is PBE.

a = 6.4578 Å, b = 6.4578 Å, c = 11.3466 Å
α = 73.47°, β = 73.47°, γ = 90.00°
Closest atoms and distances in Å follow each position.
Element x y z (fractional)
Tl (0.0000, 0.0000, 0.0000)  4 Y 3.06
Tl (0.7500, 0.2500, 0.5000)  4 Y 3.06
Rb (0.5000, 0.5000, 0.0000)  8 Y 4.45, 4 Tl 4.57
Rb (0.2500, 0.7500, 0.5000)  8 Y 4.45, 4 Tl 4.57
Y (0.8754, 0.6250, 0.2500)  2 Tl 3.06, 2 Y 3.23
Y (0.8746, 0.1250, 0.2500)  2 Tl 3.06, 2 Y 3.23
Y (0.8750, 0.1246, 0.7500)  2 Tl 3.06, 2 Y 3.23
Y (0.3750, 0.1254, 0.7500)  2 Tl 3.06, 2 Y 3.23

Summary:
The size of the total moment comes out at 0.0 μB per formula unit. The space group is I4_1/amd.

b | This record from Alexandria describes an optimized crystal structure of RbY2Tl. The functional is PBE.

a = 5.6333 Å, b = 5.6333 Å, c = 5.6333 Å
α = 60.00°, β = 60.00°, γ = 60.00°
Closest atoms and distances in Å follow each position.
Element x y z (fractional)
Rb (0.0000, 0.0000, 0.0000)  8 Y 3.45
Tl (0.5000, 0.5000, 0.5000)  8 Y 3.45
Y (0.2500, 0.2500, 0.2500)  4 Tl 3.45, 4 Rb 3.45
Y (0.7500, 0.7500, 0.7500)  4 Tl 3.45, 4 Rb 3.45

Summary:
The size of the total moment comes out at 1.7 μB per formula unit. The space group is Fm-3m.

What should be chosen as the most stable of them? Choose b.

a | This record from Alexandria describes an optimized crystal structure of RbY3Tl. The functional is PBE.

a = 5.5530 Å, b = 5.5530 Å, c = 5.5530 Å
α = 90.00°, β = 90.00°, γ = 90.00°
Closest atoms and distances in Å follow each position.
Element x y z (fractional)
Rb (0.0000, 0.0000, 0.0000)  6 Y 2.78
Y (0.0000, 0.5000, 0.0000)  2 Rb 2.78
Y (0.5000, 0.0000, 0.0000)  2 Rb 2.78
Y (0.0000, 0.0000, 0.5000)  2 Rb 2.78
Tl (0.5000, 0.5000, 0.5000)  12 Y 3.93

Summary:
The size of the total moment comes out at 0.0 μB per formula unit. The space group is Pm-3m.

b | This record from Alexandria describes an optimized crystal structure of RbY3Tl. The functional is PBE.

a = 5.9479 Å, b = 5.9479 Å, c = 5.9479 Å
α = 90.00°, β = 90.00°, γ = 90.00°
Closest atoms and distances in Å follow each position.
Element x y z (fractional)
Tl (0.0000, 0.0000, 0.0000)  6 Y 2.97
Y (0.0000, 0.5000, 0.0000)  2 Tl 2.97
Y (0.0000, 0.0000, 0.5000)  2 Tl 2.97
Y (0.5000, 0.0000, 0.0000)  2 Tl 2.97
Rb (0.5000, 0.5000, 0.5000)  12 Y 4.21

Summary:
The size of the total moment comes out at 0.0 μB per formula unit. The space group is Pm-3m.

What should be chosen as the most stable of them? Choose b.

a | This record from Alexandria describes an optimized crystal structure of RbYTl3. The functional is PBE.

a = 6.0543 Å, b = 6.0543 Å, c = 6.0543 Å
α = 90.00°, β = 90.00°, γ = 90.00°
Closest atoms and distances in Å follow each position.
Element x y z (fractional)
Tl (0.0000, 0.5000, 0.0000)  2 Y 3.03
Tl (0.5000, 0.0000, 0.0000)  2 Y 3.03
Tl (0.0000, 0.0000, 0.5000)  2 Y 3.03
Rb (0.5000, 0.5000, 0.5000)  12 Tl 4.28
Y (0.0000, 0.0000, 0.0000)  6 Tl 3.03

Summary:
The size of the total moment comes out at 0.2 μB per formula unit. The space group is Pm-3m.

b | This record from Alexandria describes an optimized crystal structure of RbYTl3. The functional is PBE.

a = 5.9776 Å, b = 5.9776 Å, c = 5.9776 Å
α = 90.00°, β = 90.00°, γ = 90.00°
Closest atoms and distances in Å follow each position.
Element x y z (fractional)
Tl (0.0000, 0.5000, 0.0000)  2 Rb 2.99
Tl (0.0000, 0.0000, 0.5000)  2 Rb 2.99
Tl (0.5000, 0.0000, 0.0000)  2 Rb 2.99
Y (0.5000, 0.5000, 0.5000)  12 Tl 4.23
Rb (0.0000, 0.0000, 0.0000)  6 Tl 2.99

Summary:
The size of the total moment comes out at 0.0 μB per formula unit. The space group is Pm-3m.

What should be chosen as the most stable of them? Choose a.